Record 1
The following is a GGA-PBE calculation of a relaxed In3AgAu crystal, from Alexandria via LeMat-Bulk.

Output
- Excess energy over the best structure of this formula in the dataset: 0.0000 eV per atom
- Formation energy: 0.246 eV/atom
- DFT total energy: -2.622 eV/atom

Unit cell a=5.3315 b=5.3315 c=5.3315 alpha=90.00 beta=90.00 gamma=90.00
Space group Pm-3m (No. 221)
Unique sites:
In  0.0000  0.0000  0.5000 (multiplicity 3)
Ag  0.5000  0.5000  0.5000 (multiplicity 1)
Au  0.0000  0.0000  0.0000 (multiplicity 1)

=====

Record 2
The following is a GGA-PBE calculation of a relaxed Pm2Ho3Al4 crystal, from Alexandria via LeMat-Bulk.

Output
- Formation energy: -0.211 eV/atom
- DFT total energy: -4.456 eV/atom

Unit cell a=6.2720 b=19.4477 c=7.7262 alpha=90.00 beta=90.00 gamma=90.00
Space group Cmce (No. 64)
Unique sites:
Pm  0.0000  0.0886  0.1024 (multiplicity 8)
Ho  0.0000  0.0000  0.5000 (multiplicity 4)
Ho  0.2500  0.2489  0.7500 (multiplicity 8)
Al  0.0000  0.1523  0.4933 (multiplicity 8)
Al  0.2500  0.0860  0.7500 (multiplicity 8)

=====

Record 3
The following is a GGA-PBE calculation of a relaxed SrAu2F12 crystal, from Alexandria via LeMat-Bulk.

Output
- DFT total energy: -3.465 eV/atom
- Formation energy (no corrections): -1.419 eV/atom

Unit cell a=10.3769 b=10.3769 c=10.3769 alpha=90.00 beta=90.00 gamma=90.00
Space group Pm-3m (No. 221)
Unique sites:
Sr  0.0000  0.0000  0.0000 (multiplicity 1)
Sr  0.0000  0.0000  0.5000 (multiplicity 3)
Au  0.2507  0.2507  0.2507 (multiplicity 8)
F  0.1231  0.1231  0.3134 (multiplicity 24)
F  0.1838  0.3725  0.3725 (multiplicity 24)

=====

Record 4
The following is a GGA-PBE calculation of a relaxed LaPm6Sm crystal, from Alexandria via LeMat-Bulk.

Output
- Formation energy: 0.017 eV/atom
- DFT total energy: -4.752 eV/atom

Unit cell a=5.1766 b=5.1766 c=10.3542 alpha=90.00 beta=90.00 gamma=90.00
Space group P4/mmm (No. 123)
Unique sites:
La  0.0000  0.0000  0.0000 (multiplicity 1)
Pm  0.0000  0.5000  0.2524 (multiplicity 4)
Pm  0.5000  0.5000  0.0000 (multiplicity 1)
Pm  0.5000  0.5000  0.5000 (multiplicity 1)
Sm  0.0000  0.0000  0.5000 (multiplicity 1)

=====

Record 5
The following is a GGA-PBE calculation of a relaxed LiPb3Cl crystal, from Alexandria via LeMat-Bulk.

Output
- Excess energy over the best structure of this formula in the dataset: 0.0000 eV per atom
- DFT total energy: -2.976 eV/atom
- Formation energy (no corrections): 0.001 eV/atom

Unit cell a=5.2462 b=5.2462 c=5.2462 alpha=90.00 beta=90.00 gamma=90.00
Space group Pm-3m (No. 221)
Unique sites:
Li  0.0000  0.0000  0.0000 (multiplicity 1)
Pb  0.0000  0.0000  0.5000 (multiplicity 3)
Cl  0.5000  0.5000  0.5000 (multiplicity 1)

=====

Record 6
The following is a GGA-PBE calculation of a relaxed SrSi2Ni crystal, from Alexandria via LeMat-Bulk.

Output
- DFT total energy: -4.906 eV/atom
- Formation energy (no corrections): -0.329 eV/atom

Unit cell a=4.2356 b=4.0084 c=5.0378 alpha=90.00 beta=105.17 gamma=90.00
Space group P2/m (No. 10)
Unique sites:
Sr  0.0000  0.0000  0.0000 (multiplicity 1)
Si  0.2972  0.5000  0.6242 (multiplicity 2)
Ni  0.5000  0.0000  0.5000 (multiplicity 1)

=====

Record 7
The following is a GGA-PBE calculation of a relaxed SrCa2HgAs crystal, from Alexandria via LeMat-Bulk.

Output
- Excess energy over the best structure of this formula in the dataset: 1.4308 eV per atom
- Formation energy: 0.852 eV/atom
- DFT total energy: -1.275 eV/atom

Unit cell a=6.3555 b=6.3555 c=5.6218 alpha=90.00 beta=90.00 gamma=90.00
Space group P4/mmm (No. 123)
Unique sites:
Sr  0.0000  0.0000  0.0000 (multiplicity 1)
Ca  0.0000  0.5000  0.0000 (multiplicity 2)
Hg  0.0000  0.0000  0.5000 (multiplicity 1)
As  0.5000  0.5000  0.5000 (multiplicity 1)

=====

Record 8
The following is a GGA-PBE calculation of a relaxed Nd2Ho12Tm5 crystal, from Alexandria via LeMat-Bulk.

Output
- Excess energy over the best structure of this formula in the dataset: 0.0060 eV per atom
- Formation energy: 0.141 eV/atom
- DFT total energy: -4.429 eV/atom

Unit cell a=15.7891 b=9.9561 c=7.7155 alpha=90.00 beta=90.68 gamma=90.00
Space group C2/m (No. 12)
Unique sites:
Nd  0.0000  0.2188  0.0000 (multiplicity 4)
Ho  0.0509  0.5000  0.2904 (multiplicity 4)
Ho  0.1059  0.2744  0.6073 (multiplicity 8)
Ho  0.1609  0.0000  0.8747 (multiplicity 4)
Ho  0.1966  0.2383  0.2024 (multiplicity 8)
Tm  0.0000  0.0000  0.5000 (multiplicity 2)
Tm  0.1475  0.5000  0.9164 (multiplicity 4)
Tm  0.2455  0.0000  0.5044 (multiplicity 4)

=====

Record 9
The following is a GGA-PBE calculation of a relaxed PtN crystal, from Alexandria via LeMat-Bulk.

Output
- DFT total energy: -6.056 eV/atom
- Formation energy (no corrections): 1.127 eV/atom

Unit cell a=4.6190 b=10.0832 c=11.1946 alpha=90.00 beta=90.00 gamma=90.00
Space group Fddd (No. 70, origin choice 2)
Unique sites:
Pt  0.1250  0.1250  0.2783 (multiplicity 16)
N  0.1250  0.2569  0.1250 (multiplicity 16)

=====

Record 10
The following is a GGA-PBE calculation of a relaxed GaTcAu3 crystal, from Alexandria via LeMat-Bulk.

Output
- Excess energy over the best structure of this formula in the dataset: 0.0553 eV per atom
- Formation energy: 0.974 eV/atom
- DFT total energy: -3.671 eV/atom

Unit cell a=5.1074 b=5.1074 c=5.1074 alpha=90.00 beta=90.00 gamma=90.00
Space group Pm-3m (No. 221)
Unique sites:
Ga  0.0000  0.0000  0.0000 (multiplicity 1)
Tc  0.5000  0.5000  0.5000 (multiplicity 1)
Au  0.0000  0.5000  0.5000 (multiplicity 3)

=====

Record 11
The following is a GGA-PBE calculation of a relaxed PuNiGe crystal, from Alexandria via LeMat-Bulk.

Output
- Formation energy: -0.247 eV/atom
- DFT total energy: -8.490 eV/atom

Unit cell a=3.0767 b=3.0767 c=10.9956 alpha=90.00 beta=90.00 gamma=90.00
Space group I4mm (No. 107)
Unique sites:
Pu  0.0000  0.0000  0.0000 (multiplicity 2)
Ni  0.0000  0.0000  0.3095 (multiplicity 2)
Ge  0.0000  0.0000  0.7052 (multiplicity 2)

=====

Record 12
The following is a GGA-PBE calculation of a relaxed Li2CoIr crystal, from Alexandria via LeMat-Bulk.

Output
- Excess energy over the best structure of this formula in the dataset: 0.2107 eV per atom
- Formation energy: 0.145 eV/atom
- DFT total energy: -4.803 eV/atom

Unit cell a=2.5294 b=2.5294 c=8.3216 alpha=90.00 beta=90.00 gamma=90.00
Space group P4/mmm (No. 123)
Unique sites:
Li  0.0000  0.0000  0.2495 (multiplicity 2)
Co  0.5000  0.5000  0.5000 (multiplicity 1)
Ir  0.5000  0.5000  0.0000 (multiplicity 1)

=====

What is the formula in the twelfth record?
Li2CoIr

=====

The lowest DFT total energy belongs to which entry?
PuNiGe

=====

What did the second record say?
The following is a GGA-PBE calculation of a relaxed Pm2Ho3Al4 crystal, from Alexandria via LeMat-Bulk.

Output
- Formation energy: -0.211 eV/atom
- DFT total energy: -4.456 eV/atom

Unit cell a=6.2720 b=19.4477 c=7.7262 alpha=90.00 beta=90.00 gamma=90.00
Space group Cmce (No. 64)
Unique sites:
Pm  0.0000  0.0886  0.1024 (multiplicity 8)
Ho  0.0000  0.0000  0.5000 (multiplicity 4)
Ho  0.2500  0.2489  0.7500 (multiplicity 8)
Al  0.0000  0.1523  0.4933 (multiplicity 8)
Al  0.2500  0.0860  0.7500 (multiplicity 8)